Entry a
Ti6Hg2N | PBE | relaxed

It has space group Fm-3m (No. 225), with a = 8.336 Å, b = 8.336 Å, c = 8.336 Å, α = 90.00°, β = 90.00° and γ = 90.00°. The inequivalent atoms are Ti at (0.000, 0.000, 0.248), Hg at (0.250, 0.250, 0.250) and N at (0.000, 0.000, 0.500).

The density of states at the Fermi level is 1.313 states/eV per atom. The calculation puts the volume at 16.091 Å³ per atom.

Entry b
Ti6Hg2N | PBE | relaxed

It has space group P-31m (No. 162), with a = 6.8289 Å, b = 6.8289 Å, c = 4.3619 Å, α = 90.00°, β = 90.00° and γ = 120.00°. The inequivalent atoms are Ti at (0.0000, 0.2523, 0.2497), Hg at (0.3333, 0.6667, 0.5000) and N at (0.0000, 0.0000, 0.0000).

The density of states at the Fermi level is 1.230 states/eV per atom. The calculation puts the volume at 19.573 Å³ per atom.

Most stable: entry a (next structure +463 meV per atom)

Entry a
Tl2HgN | PBE | relaxed

It has space group I-42d (No. 122), with a = 6.813 Å, b = 6.813 Å, c = 9.253 Å, α = 90.00°, β = 90.00° and γ = 90.00°. The inequivalent atoms are Tl at (0.164, 0.250, 0.125), Hg at (0.000, 0.000, 0.500) and N at (0.000, 0.000, 0.000).

The density of states at the Fermi level is 0.344 states/eV per atom. The calculation puts the volume at 26.839 Å³ per atom.

Entry b
Tl2HgN | PBE | relaxed

It has space group Fm-3m (No. 225), with a = 7.242 Å, b = 7.242 Å, c = 7.242 Å, α = 90.00°, β = 90.00° and γ = 90.00°. The inequivalent atoms are Tl at (0.250, 0.250, 0.250), Hg at (0.000, 0.000, 0.000) and N at (0.000, 0.000, 0.500).

The density of states at the Fermi level is 0.538 states/eV per atom. The calculation puts the volume at 23.738 Å³ per atom.

Entry c
Tl2HgN | PBE | relaxed

It has space group C2/m (No. 12), with a = 6.416 Å, b = 3.705 Å, c = 8.235 Å, α = 90.00°, β = 105.67° and γ = 90.00°. The inequivalent atoms are Tl at (0.226, 0.000, 0.172), Hg at (0.000, 0.000, 0.500) and N at (0.000, 0.500, 0.000).

The density of states at the Fermi level is 0.418 states/eV per atom. The calculation puts the volume at 23.561 Å³ per atom.

Most stable: entry c (next structure +38 meV per atom)

Entry a
VHg3N | PBE | relaxed

It has space group Pm-3m (No. 221), with a = 5.508 Å, b = 5.508 Å, c = 5.508 Å, α = 90.00°, β = 90.00° and γ = 90.00°. The inequivalent atoms are V at (0.000, 0.000, 0.000), Hg at (0.000, 0.000, 0.500) and N at (0.500, 0.500, 0.500).

The density of states at the Fermi level is 0.863 states/eV per atom. The calculation puts the volume at 33.412 Å³ per atom.

Entry b
VHg3N | PBE | relaxed

It has space group Pm-3m (No. 221), with a = 4.717 Å, b = 4.717 Å, c = 4.717 Å, α = 90.00°, β = 90.00° and γ = 90.00°. The inequivalent atoms are V at (0.000, 0.000, 0.000), Hg at (0.000, 0.500, 0.500) and N at (0.500, 0.500, 0.500).

The density of states at the Fermi level is 1.262 states/eV per atom. The calculation puts the volume at 20.991 Å³ per atom.

Most stable: entry b (next structure +253 meV per atom)

Entry a
Y2HgN | PBE | relaxed

It has space group R-3m (No. 166, hexagonal axes), with a = 3.5417 Å, b = 3.5417 Å, c = 23.1402 Å, α = 90.00°, β = 90.00° and γ = 120.00°. The inequivalent atoms are Y at (0.0000, 0.0000, 0.2251), Hg at (0.0000, 0.0000, 0.0000) and N at (0.0000, 0.0000, 0.5000).

The density of states at the Fermi level is 0.614 states/eV per atom. The calculation puts the volume at 20.948 Å³ per atom.

Entry b
Y2HgN | PBE | relaxed

It has space group I-42d (No. 122), with a = 6.810 Å, b = 6.810 Å, c = 8.199 Å, α = 90.00°, β = 90.00° and γ = 90.00°. The inequivalent atoms are Y at (0.156, 0.250, 0.125), Hg at (0.000, 0.000, 0.500) and N at (0.000, 0.000, 0.000).

The density of states at the Fermi level is 0.824 states/eV per atom. The calculation puts the volume at 23.764 Å³ per atom.

Most stable: entry a (next structure +152 meV per atom)

Entry a
YHg3N | PBE | relaxed

It has space group Pm-3m (No. 221), with a = 5.918 Å, b = 5.918 Å, c = 5.918 Å, α = 90.00°, β = 90.00° and γ = 90.00°. The inequivalent atoms are Y at (0.000, 0.000, 0.000), Hg at (0.000, 0.000, 0.500) and N at (0.500, 0.500, 0.500).

The density of states at the Fermi level is 2.563 states/eV per atom. The calculation puts the volume at 41.456 Å³ per atom.

Entry b
YHg3N | PBE | relaxed

It has space group Pm-3m (No. 221), with a = 4.824 Å, b = 4.824 Å, c = 4.824 Å, α = 90.00°, β = 90.00° and γ = 90.00°. The inequivalent atoms are Y at (0.000, 0.000, 0.000), Hg at (0.000, 0.500, 0.500) and N at (0.500, 0.500, 0.500).

The density of states at the Fermi level is 1.103 states/eV per atom. The calculation puts the volume at 22.459 Å³ per atom.

Most stable: entry b (next structure +929 meV per atom)

Entry a
ZnHg3N | PBE | relaxed

It has space group Pm-3m (No. 221), with a = 5.306 Å, b = 5.306 Å, c = 5.306 Å, α = 90.00°, β = 90.00° and γ = 90.00°. The inequivalent atoms are Zn at (0.000, 0.000, 0.000), Hg at (0.000, 0.000, 0.500) and N at (0.500, 0.500, 0.500).

The density of states at the Fermi level is 0.475 states/eV per atom. The calculation puts the volume at 29.877 Å³ per atom.

Entry b
ZnHg3N | PBE | relaxed

It has space group Pm-3m (No. 221), with a = 4.820 Å, b = 4.820 Å, c = 4.820 Å, α = 90.00°, β = 90.00° and γ = 90.00°. The inequivalent atoms are Zn at (0.000, 0.000, 0.000), Hg at (0.000, 0.500, 0.500) and N at (0.500, 0.500, 0.500).

The density of states at the Fermi level is 0.395 states/eV per atom. The calculation puts the volume at 22.395 Å³ per atom.

Most stable: entry b (next structure +245 meV per atom)